# Gd2NpC (PBE, optimized geometry)
# M_tot, Bohr magnetons per cell: 29.45
# Volume, Å³/f.u.: 101.08
# Energy, eV per atom: -12.2981
data_Gd2NpC
_chemical_formula_sum 'Gd6 Np3 C3'
_cell_length_a 3.4689
_cell_length_b 3.4689
_cell_length_c 29.0985
_cell_angle_alpha 90.00
_cell_angle_beta 90.00
_cell_angle_gamma 120.00
_space_group_name_H-M_alt 'R -3 m'
_space_group_IT_number 166
_space_group_name_Hall '-R 3 2"'
loop_
_atom_site_label
_atom_site_fract_x
_atom_site_fract_y
_atom_site_fract_z
Gd1 0.0000 0.0000 0.1185
Np1 0.0000 0.0000 0.0000
C1 0.0000 0.0000 0.5000

***

# GdNpC (PBE, optimized geometry)
# M_tot, Bohr magnetons per cell: 3.39
# Volume, Å³/f.u.: 63.39
# Energy, eV per atom: -11.9549
data_GdNpC
_chemical_formula_sum 'Gd1 Np1 C1'
_cell_length_a 3.4000
_cell_length_b 3.4000
_cell_length_c 6.3323
_cell_angle_alpha 90.00
_cell_angle_beta 90.00
_cell_angle_gamma 120.00
_space_group_name_H-M_alt 'P 3 m 1'
_space_group_IT_number 156
loop_
_space_group_symop_operation_xyz
'x,y,z'
'-y,x-y,z'
'-x+y,-x,z'
'-y,-x,z'
'-x+y,y,z'
'x,x-y,z'
loop_
_atom_site_label
_atom_site_fract_x
_atom_site_fract_y
_atom_site_fract_z
Gd1 0.0000 0.0000 0.0000
Np1 0.3333 0.6667 0.5449
C1 0.6667 0.3333 0.7559

***

# Gd2CO (PBE, optimized geometry)
# M_tot, Bohr magnetons per cell: 41.97
# Volume, Å³/f.u.: 64.59
# Energy, eV per atom: -12.2155
data_Gd2CO
_chemical_formula_sum 'Gd6 C3 O3'
_cell_length_a 3.5813
_cell_length_b 3.5813
_cell_length_c 17.4467
_cell_angle_alpha 90.00
_cell_angle_beta 90.00
_cell_angle_gamma 120.00
_space_group_name_H-M_alt 'R -3 m'
_space_group_IT_number 166
_space_group_name_Hall '-R 3 2"'
loop_
_atom_site_label
_atom_site_fract_x
_atom_site_fract_y
_atom_site_fract_z
Gd1 0.0000 0.0000 0.2477
C1 0.0000 0.0000 0.5000
O1 0.0000 0.0000 0.0000

***

# GdOsC (PBE, optimized geometry)
# M_tot, Bohr magnetons per cell: 7.25
# Volume, Å³/f.u.: 49.26
# Energy, eV per atom: -11.4756
data_GdOsC
_chemical_formula_sum 'Gd1 Os1 C1'
_cell_length_a 3.4988
_cell_length_b 3.4988
_cell_length_c 4.6464
_cell_angle_alpha 90.00
_cell_angle_beta 90.00
_cell_angle_gamma 120.00
_space_group_name_H-M_alt 'P -6 m 2'
_space_group_IT_number 187
_space_group_name_Hall 'P -6 2'
loop_
_atom_site_label
_atom_site_fract_x
_atom_site_fract_y
_atom_site_fract_z
Gd1 0.0000 0.0000 0.0000
Os1 0.6667 0.3333 0.5000
C1 0.3333 0.6667 0.5000

***

# GdPaC (PBE, optimized geometry)
# M_tot, Bohr magnetons per cell: 15.18
# Polymorph energy (0 for the lowest one), meV/atom: 367
# Volume, Å³/f.u.: 59.78
# Energy, eV per atom: -10.7494
data_GdPaC
_chemical_formula_sum 'Gd2 Pa2 C2'
_cell_length_a 3.165
_cell_length_b 3.165
_cell_length_c 11.934
_cell_angle_alpha 90.00
_cell_angle_beta 90.00
_cell_angle_gamma 90.00
_space_group_name_H-M_alt 'I 4 m m'
_space_group_IT_number 107
_space_group_name_Hall 'I 4 -2'
loop_
_atom_site_label
_atom_site_fract_x
_atom_site_fract_y
_atom_site_fract_z
Gd1 0.000 0.000 0.000
Pa1 0.000 0.000 0.755
C1 0.000 0.000 0.345

***

# GdPaC (PBE, optimized geometry)
# M_tot, Bohr magnetons per cell: 8.06
# Polymorph energy (0 for the lowest one), meV/atom: 0
# Volume, Å³/f.u.: 65.13
# Energy, eV per atom: -11.1161
data_GdPaC
_chemical_formula_sum 'Gd1 Pa1 C1'
_cell_length_a 3.5110
_cell_length_b 3.5110
_cell_length_c 6.1004
_cell_angle_alpha 90.00
_cell_angle_beta 90.00
_cell_angle_gamma 120.00
_space_group_name_H-M_alt 'P 3 m 1'
_space_group_IT_number 156
loop_
_space_group_symop_operation_xyz
'x,y,z'
'-y,x-y,z'
'-x+y,-x,z'
'-y,-x,z'
'-x+y,y,z'
'x,x-y,z'
loop_
_atom_site_label
_atom_site_fract_x
_atom_site_fract_y
_atom_site_fract_z
Gd1 0.0000 0.0000 0.0000
Pa1 0.6667 0.3333 0.4643
C1 0.3333 0.6667 0.2553

***

# Gd2PaC (PBE, optimized geometry)
# M_tot, Bohr magnetons per cell: 43.27
# Volume, Å³/f.u.: 96.53
# Energy, eV per atom: -11.5848
data_Gd2PaC
_chemical_formula_sum 'Gd6 Pa3 C3'
_cell_length_a 3.4069
_cell_length_b 3.4069
_cell_length_c 28.8105
_cell_angle_alpha 90.00
_cell_angle_beta 90.00
_cell_angle_gamma 120.00
_space_group_name_H-M_alt 'R -3 m'
_space_group_IT_number 166
_space_group_name_Hall '-R 3 2"'
loop_
_atom_site_label
_atom_site_fract_x
_atom_site_fract_y
_atom_site_fract_z
Gd1 0.0000 0.0000 0.1175
Pa1 0.0000 0.0000 0.0000
C1 0.0000 0.0000 0.5000

***

# Gd3PbC (PBE, optimized geometry)
# M_tot, Bohr magnetons per cell: 21.54
# Polymorph energy (0 for the lowest one), meV/atom: 2063
# Volume, Å³/f.u.: 195.21
# Energy, eV per atom: -9.4980
data_Gd3PbC
_chemical_formula_sum 'Gd3 Pb1 C1'
_cell_length_a 5.801
_cell_length_b 5.801
_cell_length_c 5.801
_cell_angle_alpha 90.00
_cell_angle_beta 90.00
_cell_angle_gamma 90.00
_space_group_name_H-M_alt 'P m -3 m'
_space_group_IT_number 221
_space_group_name_Hall '-P 4 2 3'
loop_
_atom_site_label
_atom_site_fract_x
_atom_site_fract_y
_atom_site_fract_z
Gd1 0.000 0.000 0.500
Pb1 0.000 0.000 0.000
C1 0.500 0.500 0.500

***

# Gd3PbC (PBE, optimized geometry)
# M_tot, Bohr magnetons per cell: 21.64
# Polymorph energy (0 for the lowest one), meV/atom: 0
# Volume, Å³/f.u.: 122.94
# Energy, eV per atom: -11.5612
data_Gd3PbC
_chemical_formula_sum 'Gd3 Pb1 C1'
_cell_length_a 4.972
_cell_length_b 4.972
_cell_length_c 4.972
_cell_angle_alpha 90.00
_cell_angle_beta 90.00
_cell_angle_gamma 90.00
_space_group_name_H-M_alt 'P m -3 m'
_space_group_IT_number 221
_space_group_name_Hall '-P 4 2 3'
loop_
_atom_site_label
_atom_site_fract_x
_atom_site_fract_y
_atom_site_fract_z
Gd1 0.000 0.000 0.500
Pb1 0.500 0.500 0.500
C1 0.000 0.000 0.000

***

# Gd2PdC (PBE, optimized geometry)
# M_tot, Bohr magnetons per cell: 42.51
# Volume, Å³/f.u.: 81.70
# Energy, eV per atom: -11.0641
data_Gd2PdC
_chemical_formula_sum 'Gd6 Pd3 C3'
_cell_length_a 3.6727
_cell_length_b 3.6727
_cell_length_c 20.9815
_cell_angle_alpha 90.00
_cell_angle_beta 90.00
_cell_angle_gamma 120.00
_space_group_name_H-M_alt 'R -3 m'
_space_group_IT_number 166
_space_group_name_Hall '-R 3 2"'
loop_
_atom_site_label
_atom_site_fract_x
_atom_site_fract_y
_atom_site_fract_z
Gd1 0.0000 0.0000 0.2331
Pd1 0.0000 0.0000 0.0000
C1 0.0000 0.0000 0.5000

***

# PmGd3C (PBE, optimized geometry)
# M_tot, Bohr magnetons per cell: 22.13
# Volume, Å³/f.u.: 133.65
# Energy, eV per atom: -11.2259
data_PmGd3C
_chemical_formula_sum 'Pm1 Gd3 C1'
_cell_length_a 5.113
_cell_length_b 5.113
_cell_length_c 5.113
_cell_angle_alpha 90.00
_cell_angle_beta 90.00
_cell_angle_gamma 90.00
_space_group_name_H-M_alt 'P m -3 m'
_space_group_IT_number 221
_space_group_name_Hall '-P 4 2 3'
loop_
_atom_site_label
_atom_site_fract_x
_atom_site_fract_y
_atom_site_fract_z
Pm1 0.000 0.000 0.000
Gd1 0.000 0.500 0.500
C1 0.500 0.500 0.500

***

# PmGdC (PBE, optimized geometry)
# M_tot, Bohr magnetons per cell: 7.50
# Volume, Å³/f.u.: 74.11
# Energy, eV per atom: -9.5269
data_PmGdC
_chemical_formula_sum 'Pm1 Gd1 C1'
_cell_length_a 3.6346
_cell_length_b 3.6346
_cell_length_c 6.4775
_cell_angle_alpha 90.00
_cell_angle_beta 90.00
_cell_angle_gamma 120.00
_space_group_name_H-M_alt 'P 3 m 1'
_space_group_IT_number 156
loop_
_space_group_symop_operation_xyz
'x,y,z'
'-y,x-y,z'
'-x+y,-x,z'
'-y,-x,z'
'-x+y,y,z'
'x,x-y,z'
loop_
_atom_site_label
_atom_site_fract_x
_atom_site_fract_y
_atom_site_fract_z
Pm1 0.0000 0.0000 0.0000
Gd1 0.3333 0.6667 0.4278
C1 0.6667 0.3333 0.2210